[1]
A PBEsol-optimized structure of InRu2Pt. Source: the Alexandria database, functional meta-GGA SCAN.

Properties
Final energy   -43.12 eV per atom
SG   Cmmm, No. 65

Cell lengths 2.778, 4.787, 4.787 Å; angles 108.21, 90.00, 90.00 degrees
Element x y z (fractional)
Ru  0.000  0.000  0.500
Ru  0.000  0.500  0.000
In  0.500  0.000  0.000
Pt  0.500  0.500  0.500

---

[2]
A PBEsol-optimized structure of InRu2Pt. Source: the Alexandria database, functional meta-GGA SCAN.

Properties
Final energy   -43.21 eV per atom
SG   I4/mmm, No. 139

Cell lengths 3.964, 3.964, 4.753 Å; angles 114.65, 114.65, 90.00 degrees
Element x y z (fractional)
In  0.500  0.500  0.000
Ru  0.250  0.750  0.500
Ru  0.750  0.250  0.500
Pt  0.000  0.000  0.000

---

[3]
A PBEsol-optimized structure of InRuPt. Source: the Alexandria database, functional meta-GGA SCAN.

Properties
Final energy   -45.88 eV per atom
SG   F-43m, No. 216

Cell lengths 4.299, 4.299, 4.299 Å; angles 60.00, 60.00, 60.00 degrees
Each line ends with the local moment (μB).
Element x y z (fractional)
Ru  0.250  0.250  0.250  0.94
In  0.000  0.000  0.000  -0.01
Pt  0.500  0.500  0.500  0.41

---

[4]
A PBEsol-optimized structure of InRu2Pt. Source: the Alexandria database, functional meta-GGA SCAN.

Properties
Final energy   -43.34 eV per atom
SG   P4mm, No. 99

Cell lengths 2.807, 2.807, 7.702 Å; angles 90.00, 90.00, 90.00 degrees
Element x y z (fractional)
In  0.000  0.000  0.493
Pt  0.500  0.500  0.763
Ru  0.500  0.500  0.227
Ru  0.000  0.000  0.017

---

[5]
A PBEsol-optimized structure of InRuPt2. Source: the Alexandria database, functional meta-GGA SCAN.

Properties
Final energy   -52.08 eV per atom
SG   R-3m, No. 166

Cell lengths 2.860, 2.860, 9.013 Å; angles 80.87, 80.87, 60.00 degrees
Element x y z (fractional)
Pt  0.753  0.753  0.740
Pt  0.247  0.247  0.260
In  0.000  0.000  0.000
Ru  0.500  0.500  0.500

---

[6]
A PBEsol-optimized structure of In2SbPt. Source: the Alexandria database, functional meta-GGA SCAN.

Properties
E_form (uncorrected)   -104 meV per atom
SG   Pmm2, No. 25

Cell lengths 3.172, 3.358, 8.311 Å; angles 90.00, 90.00, 90.00 degrees
Element x y z (fractional)
Pt  0.000  0.000  0.502
In  0.000  0.000  0.012
In  0.500  0.500  0.291
Sb  0.500  0.500  0.694